#a
First-principles (PBE) data for a relaxed structure of VBH2, as listed in Alexandria.

extended XYZ file:
```
4
Lattice="1.497 0.864 3.004 -1.497 0.864 3.004 0.000 -1.728 3.004" Properties=species:S:1:pos:R:3 pbc="T T T"
V 0.000 0.000 0.000
B 0.000 0.000 4.506
H 0.000 0.000 2.039
H 0.000 0.000 6.972
```

#b
First-principles (PBE) data for a relaxed structure of VBH2, as listed in Alexandria.

extended XYZ file:
```
8
Lattice="-1.549 1.549 5.301 1.549 -1.549 5.301 1.549 1.549 -5.301" Properties=species:S:1:pos:R:3 pbc="T T T"
V 0.000 0.000 0.000
V 0.000 1.549 2.650
B 1.549 0.000 2.650
B 0.000 0.000 5.301
H 0.774 0.941 -1.325
H 2.156 0.774 1.325
H 0.774 0.608 3.976
H -0.608 0.774 6.626
```

Which of them is the least stable? Correct choice: #a.

#a
First-principles (PBE) data for a relaxed structure of B3HW, as listed in Alexandria.

extended XYZ file:
```
5
Lattice="4.218 0.000 0.000 0.000 4.218 0.000 0.000 0.000 4.218" Properties=species:S:1:pos:R:3 pbc="T T T"
B 0.000 0.000 2.109
B 0.000 2.109 0.000
B 2.109 0.000 0.000
H 2.109 2.109 2.109
W 0.000 0.000 0.000
```

#b
First-principles (PBE) data for a relaxed structure of B3HW, as listed in Alexandria.

extended XYZ file:
```
5
Lattice="3.344 0.000 0.000 0.000 3.344 0.000 0.000 0.000 3.344" Properties=species:S:1:pos:R:3 pbc="T T T"
B 0.000 0.000 1.672
B 0.000 1.672 0.000
B 1.672 0.000 0.000
H 0.000 0.000 0.000
W 1.672 1.672 1.672
```

Which of them is the least stable? Correct choice: #a.

#a
First-principles (PBE) data for a relaxed structure of B2H6W, as listed in Alexandria.

extended XYZ file:
```
9
Lattice="0.000 2.976 2.976 2.976 0.000 2.976 2.976 2.976 0.000" Properties=species:S:1:pos:R:3 pbc="T T T"
B 1.488 1.488 1.488
B 4.465 4.465 4.465
H 2.976 2.976 1.233
H 2.976 1.233 2.976
H 4.720 2.976 2.976
H 1.233 2.976 2.976
H 2.976 4.720 2.976
H 2.976 2.976 4.720
W 2.976 2.976 2.976
```

#b
First-principles (PBE) data for a relaxed structure of B2H6W, as listed in Alexandria.

extended XYZ file:
```
9
Lattice="3.175 0.000 0.000 1.419 2.953 0.000 1.251 0.618 7.086" Properties=species:S:1:pos:R:3 pbc="T T T"
B 1.341 0.804 2.077
B 4.503 2.767 5.009
H 2.618 2.668 5.102
H 1.534 1.097 0.915
H 2.839 2.527 1.855
H 3.005 1.044 5.231
H 4.309 2.473 6.171
H 3.226 0.903 1.984
W 2.922 1.785 3.543
```

Which of them is the least stable? Correct choice: #a.

#a
First-principles (PBE) data for a relaxed structure of YB2H, as listed in Alexandria.

extended XYZ file:
```
8
Lattice="-1.660 1.660 7.846 1.660 -1.660 7.846 1.660 1.660 -7.846" Properties=species:S:1:pos:R:3 pbc="T T T"
Y 1.660 0.830 1.962
Y 0.000 0.830 5.885
B 0.000 0.000 0.000
B 0.830 0.830 -3.923
B 0.830 -0.830 3.923
B 0.000 1.660 0.000
H 1.660 -0.830 5.885
H 0.000 2.490 1.962
```

#b
First-principles (PBE) data for a relaxed structure of YB2H, as listed in Alexandria.

extended XYZ file:
```
4
Lattice="0.000 2.914 2.914 2.914 0.000 2.914 2.914 2.914 0.000" Properties=species:S:1:pos:R:3 pbc="T T T"
Y 0.000 0.000 0.000
B 1.457 1.457 1.457
B 4.371 4.371 4.371
H 2.914 2.914 2.914
```

Which of them is the least stable? Correct choice: #b.

#a
First-principles (PBE) data for a relaxed structure of YB2H8, as listed in Alexandria.

extended XYZ file:
```
22
Lattice="4.085 -3.835 0.000 4.085 3.835 0.000 -4.074 0.000 5.845" Properties=species:S:1:pos:R:3 pbc="T T T"
Y 1.029 2.878 4.384
Y 3.066 -2.878 1.461
B -1.015 0.962 4.341
B 1.022 -0.962 1.419
B 3.074 0.962 4.426
B 5.110 -0.962 1.504
H -2.009 0.968 5.060
H 1.085 1.858 2.214
H 1.085 0.055 0.712
H -0.952 -0.055 3.635
H -0.023 0.958 5.063
H 0.028 -0.968 2.137
H 5.047 1.858 0.709
H 2.082 0.958 3.705
H 2.014 -0.958 2.140
H -0.952 -1.858 5.136
H 4.068 0.968 3.708
H 4.119 -0.958 0.782
H 5.048 0.055 2.211
H 3.011 -0.055 5.133
H 3.010 -1.858 3.632
H 6.105 -0.968 0.786
```

#b
First-principles (PBE) data for a relaxed structure of YB2H8, as listed in Alexandria.

extended XYZ file:
```
11
Lattice="4.579 -3.288 0.000 4.579 3.288 0.000 -1.205 0.000 3.607" Properties=species:S:1:pos:R:3 pbc="T T T"
Y 0.000 0.000 0.000
B 1.185 0.000 2.391
B 6.768 0.000 1.216
H 2.907 2.260 1.183
H 1.772 0.000 1.309
H 5.045 2.260 2.424
H 2.049 0.000 3.239
H 5.903 0.000 0.368
H 2.907 -2.260 1.183
H 6.181 0.000 2.298
H 5.045 -2.260 2.424
```

Which of them is the least stable? Correct choice: #b.

#a
First-principles (PBE) data for a relaxed structure of Y2BH, as listed in Alexandria.

extended XYZ file:
```
8
Lattice="-2.555 2.555 6.150 2.555 -2.555 6.150 2.555 2.555 -6.150" Properties=species:S:1:pos:R:3 pbc="T T T"
Y 3.832 1.213 -1.538
Y 1.213 1.277 1.538
Y -1.277 1.342 4.613
Y 1.342 1.277 7.688
B 2.555 0.000 3.075
B 0.000 0.000 6.150
H 0.000 0.000 0.000
H 0.000 2.555 3.075
```

#b
First-principles (PBE) data for a relaxed structure of Y2BH, as listed in Alexandria.

extended XYZ file:
```
4
Lattice="0.000 3.185 3.185 3.185 0.000 3.185 3.185 3.185 0.000" Properties=species:S:1:pos:R:3 pbc="T T T"
Y 1.592 1.592 1.592
Y 4.777 4.777 4.777
B 0.000 0.000 0.000
H 3.185 3.185 3.185
```

Which of them is the least stable? Correct choice: #a.